Record 1
Material: NpTl2VO6
Method: DFT, PBE with a Hubbard U
State: optimized geometry

Calculated values
Space group: No. 139
E in eV per atom: -7.3567

Lattice parameters (Å, degrees): 5.8611 5.8611 8.3911 90.00 90.00 90.00
With the nearest neighbours (Å) after each atom.
Element x y z (fractional)
O (0.5000, 0.2500, 0.7811)  1 V 1.84
O (0.7566, 0.9934, 0.0000)  1 Np 2.02, 1 V 2.13
O (0.2434, 0.5066, 0.0000)  1 Np 2.02, 1 V 2.13
O (0.2434, 0.9934, 0.0000)  1 Np 2.02, 1 V 2.13
O (0.2566, 0.4934, 0.5000)  1 Np 2.02, 1 V 2.13
O (0.0000, 0.7500, 0.7189)  1 V 1.84
O (0.7434, 0.0066, 0.5000)  1 Np 2.02, 1 V 2.13
O (0.5000, 0.2500, 0.2189)  1 V 1.84
O (0.2566, 0.0066, 0.5000)  1 Np 2.02, 1 V 2.13
O (0.7566, 0.5066, 0.0000)  1 Np 2.02, 1 V 2.13
O (0.7434, 0.4934, 0.5000)  1 Np 2.02, 1 V 2.13
O (0.0000, 0.7500, 0.2811)  1 V 1.84
V (0.5000, 0.2500, 0.0000)  2 O 1.84
V (0.0000, 0.7500, 0.5000)  2 O 1.84
Tl (0.0000, 0.2500, 0.2500)  12 O 2.94-2.95
Tl (0.5000, 0.7500, 0.2500)  12 O 2.94-2.95
Tl (0.5000, 0.7500, 0.7500)  12 O 2.94-2.95
Tl (0.0000, 0.2500, 0.7500)  12 O 2.94-2.95
Np (0.5000, 0.2500, 0.5000)  4 O 2.02
Np (0.0000, 0.7500, 0.0000)  4 O 2.02

Record 2
Material: NpTlV2O8
Method: DFT, PBE with a Hubbard U
State: optimized geometry

Calculated values
Space group: No. 164
E in eV per atom: -7.8842

Lattice parameters (Å, degrees): 5.8622 5.8622 7.8354 90.00 90.00 120.00
With the nearest neighbours (Å) after each atom.
Element x y z (fractional)
O (0.3350, 0.1675, 0.1626)  1 V 1.78
O (0.6650, 0.8325, 0.8374)  1 V 1.78
O (0.8325, 0.1675, 0.1626)  1 V 1.78
O (0.1675, 0.3350, 0.8374)  1 V 1.78
O (0.6667, 0.3333, 0.4476)  1 V 1.65
O (0.1675, 0.8325, 0.8374)  1 V 1.78
O (0.3333, 0.6667, 0.5524)  1 V 1.65
O (0.8325, 0.6650, 0.1626)  1 V 1.78
V (0.6667, 0.3333, 0.2375)  4 O 1.65-1.78
V (0.3333, 0.6667, 0.7625)  4 O 1.65-1.78
Np (0.0000, 0.0000, 0.0000)  6 O 2.12
Tl (0.0000, 0.0000, 0.5000)  12 O 3.14-3.41

Record 3
Material: NpTlVO5
Method: DFT, PBE with a Hubbard U
State: optimized geometry

Calculated values
Space group: No. 15
E in eV per atom: -8.0903

Lattice parameters (Å, degrees): 6.3034 6.3034 8.0612 105.12 105.12 105.48
With the nearest neighbours (Å) after each atom.
Element x y z (fractional)
O (0.8661, 0.2867, 0.1139)  1 V 1.78
O (0.2267, 0.3899, 0.6115)  1 V 1.76
O (0.6101, 0.7733, 0.8885)  1 V 1.76
O (0.3899, 0.2267, 0.1115)  1 V 1.76
O (0.1339, 0.7133, 0.8861)  1 V 1.78
O (0.7133, 0.1339, 0.3861)  1 V 1.78
O (0.0606, 0.9394, 0.2500)  2 Np 2.11
O (0.2867, 0.8661, 0.6139)  1 V 1.78
O (0.9394, 0.0606, 0.7500)  2 Np 2.11
O (0.7733, 0.6101, 0.3885)  1 V 1.76
Np (0.0000, 0.0000, 0.0000)  6 O 2.11-2.28
Np (0.0000, 0.0000, 0.5000)  6 O 2.11-2.28
V (0.6867, 0.3133, 0.2500)  4 O 1.76-1.78
V (0.3133, 0.6867, 0.7500)  4 O 1.76-1.78
Tl (0.6702, 0.3298, 0.7500)  7 O 2.70-2.98
Tl (0.3298, 0.6702, 0.2500)  7 O 2.70-2.98

Record 4
Material: NpTlWO6
Method: DFT, PBE with a Hubbard U
State: optimized geometry

Calculated values
Space group: No. 74
E in eV per atom: -7.9684

Lattice parameters (Å, degrees): 7.4811 7.7873 7.6873 120.43 119.12 90.00
With the nearest neighbours (Å) after each atom.
Element x y z (fractional)
O (0.4319, 0.7021, 0.2608)  1 W 1.95, 1 Np 2.13
O (0.7998, 0.0498, 0.5996)  2 W 1.95
O (0.8289, 0.7021, 0.2608)  1 W 1.95, 1 Np 2.13
O (0.5681, 0.2979, 0.7392)  1 W 1.95, 1 Np 2.13
O (0.4319, 0.0587, 0.2608)  1 W 1.95, 1 Np 2.13
O (0.2002, 0.9502, 0.4004)  2 W 1.95
O (0.5779, 0.3279, 0.1559)  2 Np 2.13
O (0.8289, 0.0587, 0.2608)  1 W 1.95, 1 Np 2.13
O (0.1711, 0.2979, 0.7392)  1 W 1.95, 1 Np 2.13
O (0.1711, 0.9413, 0.7392)  1 W 1.95, 1 Np 2.13
O (0.5681, 0.9413, 0.7392)  1 W 1.95, 1 Np 2.13
O (0.4221, 0.6721, 0.8441)  2 Np 2.13
Np (0.5000, 0.5000, 0.0000)  6 O 2.13
Np (0.5000, 0.0000, 0.0000)  6 O 2.13
W (0.5000, 0.0000, 0.5000)  6 O 1.95
W (0.0000, 0.0000, 0.5000)  6 O 1.95
Tl (0.8358, 0.5858, 0.6717)  1 O 2.82
Tl (0.1642, 0.4142, 0.3283)  1 O 2.82

Record 5
Material: NpTl2W3O12
Method: DFT, PBE with a Hubbard U
State: optimized geometry

Calculated values
Space group: No. 166
E in eV per atom: -7.4924

Lattice parameters (Å, degrees): 7.6585 7.6585 7.6585 58.29 58.29 58.29
With the nearest neighbours (Å) after each atom.
Element x y z (fractional)
Np (0.0000, 0.0000, 0.0000)  6 O 2.17
W (0.0000, 0.5000, 0.0000)  6 O 1.95
W (0.0000, 0.0000, 0.5000)  6 O 1.95
W (0.5000, 0.0000, 0.0000)  6 O 1.95
O (0.0620, 0.6971, 0.6971)  2 W 1.95
O (0.3399, 0.9287, 0.9287)  1 W 1.95, 1 Np 2.17
O (0.6971, 0.0620, 0.6971)  2 W 1.95
O (0.3029, 0.3029, 0.9380)  2 W 1.95
O (0.0713, 0.6601, 0.0713)  1 W 1.95, 1 Np 2.17
O (0.9287, 0.3399, 0.9287)  1 W 1.95, 1 Np 2.17
O (0.9287, 0.9287, 0.3399)  1 W 1.95, 1 Np 2.17
O (0.3029, 0.9380, 0.3029)  2 W 1.95
O (0.6601, 0.0713, 0.0713)  1 W 1.95, 1 Np 2.17
O (0.0713, 0.0713, 0.6601)  1 W 1.95, 1 Np 2.17
O (0.6971, 0.6971, 0.0620)  2 W 1.95
O (0.9380, 0.3029, 0.3029)  2 W 1.95
Tl (0.3390, 0.3390, 0.3390)  3 O 2.88
Tl (0.6610, 0.6610, 0.6610)  3 O 2.88